Record 1
The following is a DFT calculation (GGA-PBE) of a relaxed structure of Ba2Hg2Pd3.

DOS(E_F)   0.388 states/eV/atom
E_tot   -3.346 eV/atom
Formation energy   -0.4846 eV/atom

Unit cell a=11.8863 b=4.5521 c=7.4840 alpha=90.00 beta=100.49 gamma=90.00
Space group C2/m (No. 12)
Symmetry-distinct sites (fractional):
Ba 0.1558 0.0000 0.2014 x4
Hg 0.1138 0.0000 0.6754 x4
Pd 0.0000 0.5000 0.5000 x2
Pd 0.0608 0.5000 0.8685 x4

Record 2
The following is a DFT calculation (GGA-PBE) of a relaxed structure of Cr3As.

DOS(E_F)   0.991 states/eV/atom
E_tot   -8.297 eV/atom
Formation energy   0.0828 eV/atom

Unit cell a=5.8529 b=5.8529 c=5.8529 alpha=90.00 beta=90.00 gamma=90.00
Space group Fm-3m (No. 225)
Symmetry-distinct sites (fractional):
Cr 0.0000 0.0000 0.0000 x4
Cr 0.2500 0.2500 0.2500 x8
As 0.0000 0.0000 0.5000 x4

Record 3
The following is a DFT calculation (GGA-PBE) of a relaxed structure of TlSb2Rh2.

DOS(E_F)   0.338 states/eV/atom
Polymorph energy (0 for the lowest one)   0.00 eV/f.u.
Energy relative to the elements, uncorrected   -0.273 eV per atom
E_tot   -5.336 eV/atom

Unit cell a=4.1757 b=4.1757 c=14.1368 alpha=90.00 beta=90.00 gamma=90.00
Space group I4/mmm (No. 139)
Symmetry-distinct sites (fractional):
Tl 0.0000 0.0000 0.0000 x2
Sb 0.0000 0.0000 0.3605 x4
Rh 0.0000 0.5000 0.2500 x4